# HgMoF6 | Alexandria | PBE with a Hubbard U | relaxed
data_HgMoF6
_cell_length_a 5.8388
_cell_length_b 5.8388
_cell_length_c 16.3702
_cell_angle_alpha 90.00
_cell_angle_beta 90.00
_cell_angle_gamma 120.00
_symmetry_space_group_name_H-M 'R -3 m'
_symmetry_Int_Tables_number 166
_symmetry_space_group_name_Hall '-R 3 2"'
loop_
_atom_site_label
_atom_site_fract_x
_atom_site_fract_y
_atom_site_fract_z
Hg1 0.0000 0.0000 0.0000
Mo1 0.0000 0.0000 0.5000
F1 0.0310 0.5155 0.1002
# energy above the lowest structure with this stoichiometry = 0.704 eV per formula unit
# magnetic moment = 0.0 Bohr magnetons per cell